Computed, not measured: crystalline TlTe3 at its relaxed geometry at the PBE level of DFT.

Cell lengths 3.1422, 3.1422, 14.0825 Å; angles 90.00, 90.00, 91.13 degrees
With the nearest neighbours (Å) after each atom.
Atoms (fractional coordinates):
Tl  0.0000  0.0000  0.0000  4 Tl 3.14
Te  0.0000  0.0000  0.5000  4 Te 3.14
Te  0.5000  0.5000  0.2061  4 Te 3.14
Te  0.5000  0.5000  0.7939  4 Te 3.14

## Properties
- calculated volume (Å³/atom) = 34.8
- formation energy (no corrections) (eV/atom) = 0.0424

***

Computed, not measured: crystalline Cr4Ir5Rh2 at its relaxed geometry at the PBE level of DFT.

Cell lengths 8.5214, 8.5214, 4.7349 Å; angles 102.93, 102.93, 28.09 degrees
With the nearest neighbours (Å) after each atom.
Atoms (fractional coordinates):
Cr  0.0398  0.0398  0.3281  1 Cr 2.32, 2 Rh 2.39, 3 Ir 2.46-2.58
Cr  0.2811  0.2811  0.1092  1 Rh 2.39, 2 Cr 2.43, 4 Ir 2.58-2.67
Cr  0.7189  0.7189  0.8908  1 Rh 2.39, 2 Cr 2.43, 4 Ir 2.58-2.67
Cr  0.9602  0.9602  0.6719  1 Cr 2.32, 2 Rh 2.39, 3 Ir 2.46-2.58
Ir  0.1211  0.1211  0.9527  5 Cr 2.46-2.69, 2 Ir 2.66-2.73, 2 Rh 2.74
Ir  0.2014  0.2014  0.5252  5 Cr 2.61-2.78, 4 Ir 2.66-2.73, 2 Rh 2.86
Ir  0.5000  0.5000  0.0000  4 Cr 2.58, 4 Rh 2.71-2.75
Ir  0.7986  0.7986  0.4748  5 Cr 2.61-2.78, 4 Ir 2.66-2.73, 2 Rh 2.86
Ir  0.8789  0.8789  0.0473  5 Cr 2.46-2.69, 2 Ir 2.66-2.73, 2 Rh 2.74
Rh  0.4151  0.4151  0.4362  3 Cr 2.39
Rh  0.5849  0.5849  0.5638  3 Cr 2.39

## Properties
- calculated volume (Å³/atom) = 14.3
- ΔE_f (eV/atom) = 0.16

***

Computed, not measured: crystalline Ce8Ir3CBr4 at its relaxed geometry at the PBE level of DFT.

Cell lengths 8.9373, 8.9373, 8.9373 Å; angles 53.53, 53.53, 53.53 degrees
With the nearest neighbours (Å) after each atom.
Atoms (fractional coordinates):
Ce  0.2328  0.2328  0.2328  3 Ir 2.77
Ce  0.2564  0.7171  0.7171  1 C 2.59, 2 Ir 2.82
Ce  0.2829  0.2829  0.7436  1 C 2.59, 2 Ir 2.82
Ce  0.2829  0.7436  0.2829  1 C 2.59, 2 Ir 2.82
Ce  0.7171  0.2564  0.7171  1 C 2.59, 2 Ir 2.82
Ce  0.7171  0.7171  0.2564  1 C 2.59, 2 Ir 2.82
Ce  0.7436  0.2829  0.2829  1 C 2.59, 2 Ir 2.82
Ce  0.7672  0.7672  0.7672  3 Ir 2.77
Ir  0.0000  0.0000  0.5000  6 Ce 2.77-2.82
Ir  0.0000  0.5000  0.0000  6 Ce 2.77-2.82
Ir  0.5000  0.0000  0.0000  6 Ce 2.77-2.82
C  0.5000  0.5000  0.5000  6 Ce 2.59
Br  0.0000  0.0000  0.0000  6 Ce 3.44
Br  0.0000  0.5000  0.5000  6 Ce 3.25-3.27
Br  0.5000  0.0000  0.5000  6 Ce 3.25-3.27
Br  0.5000  0.5000  0.0000  6 Ce 3.25-3.27

## Properties
- calculated volume (Å³/atom) = 26.8
- formation energy (no corrections) (eV/atom) = -0.9608

***

Computed, not measured: crystalline Cs4PCl at its relaxed geometry at the PBE level of DFT.

Cell lengths 10.0176, 10.0176, 10.7800 Å; angles 100.98, 100.98, 35.67 degrees
With the nearest neighbours (Å) after each atom.
Atoms (fractional coordinates):
Cs  0.0487  0.5480  0.1834  3 P 3.66-3.71, 1 Cl 3.77, 3 Cs 3.99-4.02
Cs  0.1778  0.6793  0.5591  1 P 3.34
Cs  0.3207  0.8222  0.9409  1 P 3.34
Cs  0.4520  0.9513  0.3166  3 P 3.66-3.71, 1 Cl 3.77, 3 Cs 3.99-4.02
Cs  0.5480  0.0487  0.6834  3 P 3.66-3.71, 1 Cl 3.77, 3 Cs 3.99-4.02
Cs  0.6793  0.1778  0.0591  1 P 3.34
Cs  0.8222  0.3207  0.4409  1 P 3.34
Cs  0.9513  0.4520  0.8166  3 P 3.66-3.71, 1 Cl 3.77, 3 Cs 3.99-4.02
P  0.0000  0.5000  0.5000  8 Cs 3.34-3.71
P  0.5000  0.0000  0.0000  8 Cs 3.34-3.71
Cl  0.2513  0.7487  0.2500  8 Cs 3.77-3.84
Cl  0.7487  0.2513  0.7500  8 Cs 3.77-3.84

## Properties
- calculated volume (Å³/atom) = 51.5
- formation energy (no corrections) (eV/atom) = -0.7322

***

Computed, not measured: crystalline MgSn3Pd at its relaxed geometry at the PBE level of DFT.

Cell lengths 8.6974, 5.7596, 9.4023 Å; angles 90.00, 106.54, 90.00 degrees
With the nearest neighbours (Å) after each atom.
Atoms (fractional coordinates):
Mg  0.1584  0.2456  0.1592  2 Pd 2.75-2.80, 3 Sn 2.91-3.07
Mg  0.1584  0.2544  0.6592  2 Pd 2.75-2.80, 3 Sn 2.91-3.07
Mg  0.8416  0.7456  0.3408  2 Pd 2.75-2.80, 3 Sn 2.91-3.07
Mg  0.8416  0.7544  0.8408  2 Pd 2.75-2.80, 3 Sn 2.91-3.07
Sn  0.0932  0.7419  0.1485  3 Pd 2.91-3.00, 4 Mg 2.91-3.21, 1 Sn 3.18
Sn  0.0932  0.7581  0.6485  3 Pd 2.91-3.00, 4 Mg 2.91-3.21, 1 Sn 3.18
Sn  0.3077  0.5186  0.4485  2 Pd 2.92-3.04, 2 Mg 3.07-3.09, 2 Sn 3.18-3.21
Sn  0.3077  0.9814  0.9485  2 Pd 2.92-3.04, 2 Mg 3.07-3.09, 2 Sn 3.18-3.21
Sn  0.4974  0.5042  0.1723  2 Pd 2.87-2.88
Sn  0.4974  0.9958  0.6723  2 Pd 2.87-2.88
Sn  0.5026  0.0042  0.3277  2 Pd 2.87-2.88
Sn  0.5026  0.4958  0.8277  2 Pd 2.87-2.88
Sn  0.6923  0.0186  0.0515  2 Pd 2.92-3.04, 2 Mg 3.07-3.09, 2 Sn 3.18-3.21
Sn  0.6923  0.4814  0.5515  2 Pd 2.92-3.04, 2 Mg 3.07-3.09, 2 Sn 3.18-3.21
Sn  0.9068  0.2419  0.3515  3 Pd 2.91-3.00, 4 Mg 2.91-3.21, 1 Sn 3.18
Sn  0.9068  0.2581  0.8515  3 Pd 2.91-3.00, 4 Mg 2.91-3.21, 1 Sn 3.18
Pd  0.2153  0.0079  0.4227  2 Mg 2.75-2.80, 7 Sn 2.87-3.04
Pd  0.2153  0.4921  0.9227  2 Mg 2.75-2.80, 7 Sn 2.87-3.04
Pd  0.7847  0.5079  0.0773  2 Mg 2.75-2.80, 7 Sn 2.87-3.04
Pd  0.7847  0.9921  0.5773  2 Mg 2.75-2.80, 7 Sn 2.87-3.04

## Properties
- calculated volume (Å³/atom) = 22.6
- ΔE_f (eV/atom) = -0.27
- energy above the most stable polymorph in this dataset (meV per atom) = 0

***

Computed, not measured: crystalline Li2ZnSn at its relaxed geometry at the PBE level of DFT.

Cell lengths 3.2946, 3.2946, 6.4345 Å; angles 90.00, 90.00, 90.00 degrees
With the nearest neighbours (Å) after each atom.
Atoms (fractional coordinates):
Li  0.0000  0.0000  0.2292  4 Zn 2.76, 4 Sn 2.91, 1 Li 2.95
Li  0.0000  0.0000  0.7708  4 Zn 2.76, 4 Sn 2.91, 1 Li 2.95
Zn  0.5000  0.5000  0.0000  8 Li 2.76
Sn  0.5000  0.5000  0.5000  8 Li 2.91, 2 Zn 3.22

## Properties
- calculated volume (Å³/atom) = 17.5
- ΔE_f (eV/atom) = -0.24

***

Computed, not measured: crystalline Tb3Y7 at its relaxed geometry at the PBE level of DFT.

Cell lengths 10.8012, 10.8012, 6.4794 Å; angles 90.00, 90.00, 120.00 degrees
With the nearest neighbours (Å) after each atom.
Atoms (fractional coordinates):
Tb  0.2040  0.4079  0.0000  8 Y 3.28-3.48
Tb  0.2040  0.7960  0.0000  8 Y 3.28-3.48
Tb  0.4079  0.2040  0.5000  8 Y 3.28-3.48
Tb  0.5921  0.7960  0.0000  8 Y 3.28-3.48
Tb  0.7960  0.2040  0.5000  8 Y 3.28-3.48
Tb  0.7960  0.5921  0.5000  8 Y 3.28-3.48
Y  0.0594  0.5297  0.3401  3 Y 3.28-3.43, 4 Tb 3.33-3.40
Y  0.1206  0.2412  0.5200  4 Tb 3.33-3.71, 2 Y 3.68
Y  0.1206  0.8794  0.5200  4 Tb 3.33-3.71, 2 Y 3.68
Y  0.2412  0.1206  0.0200  4 Tb 3.33-3.71, 2 Y 3.68
Y  0.3333  0.6667  0.6572  3 Y 3.28, 3 Tb 3.28
Y  0.4703  0.5297  0.3401  3 Y 3.28-3.43, 4 Tb 3.33-3.40
Y  0.4703  0.9406  0.3401  3 Y 3.28-3.43, 4 Tb 3.33-3.40
Y  0.5297  0.0594  0.8401  3 Y 3.28-3.43, 4 Tb 3.33-3.40
Y  0.5297  0.4703  0.8401  3 Y 3.28-3.43, 4 Tb 3.33-3.40
Y  0.6667  0.3333  0.1572  3 Y 3.28, 3 Tb 3.28
Y  0.7588  0.8794  0.5200  4 Tb 3.33-3.71, 2 Y 3.68
Y  0.8794  0.1206  0.0200  4 Tb 3.33-3.71, 2 Y 3.68
Y  0.8794  0.7588  0.0200  4 Tb 3.33-3.71, 2 Y 3.68
Y  0.9406  0.4703  0.8401  3 Y 3.28-3.43, 4 Tb 3.33-3.40

## Properties
- calculated volume (Å³/atom) = 32.7
- ΔE_f (eV/atom) = 0.18
- energy above the most stable polymorph in this dataset (meV per atom) = 132

***

Computed, not measured: crystalline ZnHgIr2 at its relaxed geometry at the PBE level of DFT.

Cell lengths 2.8202, 2.8202, 9.1975 Å; angles 90.00, 90.00, 118.38 degrees
With the nearest neighbours (Å) after each atom.
Atoms (fractional coordinates):
Zn  0.0000  0.0000  0.0000  4 Ir 2.56, 4 Zn 2.82
Hg  0.0000  0.0000  0.5000  6 Hg 2.82-2.89, 4 Ir 2.88
Ir  0.5000  0.5000  0.2295  2 Zn 2.56, 4 Ir 2.82
Ir  0.5000  0.5000  0.7705  2 Zn 2.56, 4 Ir 2.82

## Properties
- calculated volume (Å³/atom) = 16.1
- ΔE_f (eV/atom) = 0.26

***

Computed, not measured: crystalline LiNF2 at its relaxed geometry at the PBE level of DFT.

Cell lengths 6.8473, 6.8473, 6.8473 Å; angles 22.91, 22.91, 22.91 degrees
With the nearest neighbours (Å) after each atom.
Atoms (fractional coordinates):
Li  0.0000  0.0000  0.0000  2 F 1.68
N  0.5000  0.5000  0.5000  6 F 2.28
F  0.0842  0.0842  0.0842  1 Li 1.68
F  0.9158  0.9158  0.9158  1 Li 1.68

## Properties
- calculated volume (Å³/atom) = 10.7
- formation energy (no corrections) (eV/atom) = 0.3778
- energy above the most stable polymorph in this dataset (meV per atom) = 1221

***

Computed, not measured: crystalline ScTi2Pt2 at its relaxed geometry at the PBE level of DFT.

Cell lengths 7.4151, 7.4151, 3.2038 Å; angles 90.00, 90.00, 90.00 degrees
With the nearest neighbours (Å) after each atom.
Atoms (fractional coordinates):
Sc  0.0000  0.0000  0.0000  4 Pt 2.89, 8 Ti 3.20, 2 Sc 3.20
Sc  0.5000  0.5000  0.0000  4 Pt 2.89, 8 Ti 3.20, 2 Sc 3.20
Ti  0.1652  0.3348  0.5000  6 Pt 2.65-2.75
Ti  0.3348  0.8348  0.5000  6 Pt 2.65-2.75
Ti  0.6652  0.1652  0.5000  6 Pt 2.65-2.75
Ti  0.8348  0.6652  0.5000  6 Pt 2.65-2.75
Pt  0.1341  0.6341  0.0000  6 Ti 2.65-2.75, 1 Pt 2.81, 2 Sc 2.89
Pt  0.3659  0.1341  0.0000  6 Ti 2.65-2.75, 1 Pt 2.81, 2 Sc 2.89
Pt  0.6341  0.8659  0.0000  6 Ti 2.65-2.75, 1 Pt 2.81, 2 Sc 2.89
Pt  0.8659  0.3659  0.0000  6 Ti 2.65-2.75, 1 Pt 2.81, 2 Sc 2.89

## Properties
- calculated volume (Å³/atom) = 17.6
- ΔE_f (eV/atom) = -0.79
- energy above the most stable polymorph in this dataset (meV per atom) = 0

***

Computed, not measured: crystalline La3HoTm7 at its relaxed geometry at the PBE level of DFT.

Cell lengths 7.0263, 7.0263, 8.7069 Å; angles 90.00, 90.00, 120.00 degrees
With the nearest neighbours (Å) after each atom.
Atoms (fractional coordinates):
La  0.9997  0.4998  0.0000  4 La 3.51-3.52, 5 Tm 3.59-3.60, 1 Ho 3.60
La  0.5002  0.0003  0.0000  4 La 3.51-3.52, 5 Tm 3.59-3.60, 1 Ho 3.60
La  0.5002  0.4998  0.0000  4 La 3.51-3.52, 5 Tm 3.59-3.60, 1 Ho 3.60
Ho  0.3333  0.6667  0.3414  9 Tm 3.43-3.51, 3 La 3.60
Tm  0.1672  0.3343  0.6594  1 Ho 3.43, 8 Tm 3.43-3.52, 2 La 3.59
Tm  0.1672  0.8328  0.6594  1 Ho 3.43, 8 Tm 3.43-3.52, 2 La 3.59
Tm  0.3345  0.1672  0.3419  7 Tm 3.42-3.53, 2 Ho 3.51, 2 La 3.60
Tm  0.6657  0.8328  0.6594  1 Ho 3.43, 8 Tm 3.43-3.52, 2 La 3.59
Tm  0.6667  0.3333  0.6591  9 Tm 3.42-3.51, 3 La 3.59
Tm  0.8328  0.1672  0.3419  7 Tm 3.42-3.53, 2 Ho 3.51, 2 La 3.60
Tm  0.8328  0.6655  0.3419  7 Tm 3.42-3.53, 2 Ho 3.51, 2 La 3.60

## Properties
- calculated volume (Å³/atom) = 33.8
- ΔE_f (eV/atom) = 0.18
- energy above the most stable polymorph in this dataset (meV per atom) = 10

***

Please write out number 4 again, unchanged.
Computed, not measured: crystalline Cs4PCl at its relaxed geometry at the PBE level of DFT.

Cell lengths 10.0176, 10.0176, 10.7800 Å; angles 100.98, 100.98, 35.67 degrees
With the nearest neighbours (Å) after each atom.
Atoms (fractional coordinates):
Cs  0.0487  0.5480  0.1834  3 P 3.66-3.71, 1 Cl 3.77, 3 Cs 3.99-4.02
Cs  0.1778  0.6793  0.5591  1 P 3.34
Cs  0.3207  0.8222  0.9409  1 P 3.34
Cs  0.4520  0.9513  0.3166  3 P 3.66-3.71, 1 Cl 3.77, 3 Cs 3.99-4.02
Cs  0.5480  0.0487  0.6834  3 P 3.66-3.71, 1 Cl 3.77, 3 Cs 3.99-4.02
Cs  0.6793  0.1778  0.0591  1 P 3.34
Cs  0.8222  0.3207  0.4409  1 P 3.34
Cs  0.9513  0.4520  0.8166  3 P 3.66-3.71, 1 Cl 3.77, 3 Cs 3.99-4.02
P  0.0000  0.5000  0.5000  8 Cs 3.34-3.71
P  0.5000  0.0000  0.0000  8 Cs 3.34-3.71
Cl  0.2513  0.7487  0.2500  8 Cs 3.77-3.84
Cl  0.7487  0.2513  0.7500  8 Cs 3.77-3.84

## Properties
- calculated volume (Å³/atom) = 51.5
- formation energy (no corrections) (eV/atom) = -0.7322